TaNi3I | SCAN | single point on PBEsol structure

Cell: 4.587 4.587 4.587 Å, 90.00 90.00 90.00°
Positions (direct):
Ta1 0.000 0.000 0.000
Ni1 0.000 0.000 0.500
Ni2 0.000 0.500 0.000
Ni3 0.500 0.000 0.000
I1 0.500 0.500 0.500

Output
final energy = -28.9117 eV/atom
size of the total moment = 0.00 μB/cell
theoretical density = 8.33 Mg/m³
ΔE_f (raw) = 1.457 eV per atom